4
Lattice="0.0000 4.0438 4.0438 4.0438 0.0000 4.0438 4.0438 4.0438 0.0000" Properties=species:S:1:pos:R:3 comment="GGA-PBE LaGdHoTm, optimized geometry" formation_energy_mev_per_atom=92 energy_ev_per_atom=-6.92 pbc="T T T"
La 0.0000 0.0000 0.0000
Gd 4.0438 4.0438 4.0438
Ho 2.0219 2.0219 2.0219
Tm 6.0657 6.0657 6.0657